*A*
{"formula": "LaSc2InN", "functional": "PBE", "state": "relaxed", "lattice_angstrom": [[-2.4004, 1.3606, 3.6956], [-3.9015, -1.4109, -2.0147], [0.5831, -4.5399, 2.0501]], "species": ["Sc", "Sc", "N", "In", "La"], "frac_coords": [[0.0000, 0.5000, 0.0000], [0.5000, 0.0000, 0.0000], [0.0000, 0.0000, 0.0000], [0.5000, 0.5000, 0.5000], [0.0000, 0.0000, 0.5000]], "mass_density_g_cm3": 5.57, "m_tot_mub_per_cell": 0.00}

---

*B*
{"formula": "LaSc2InN", "functional": "PBE", "state": "relaxed", "lattice_angstrom": [[5.7194, 0.0000, 0.0000], [0.0000, 4.1515, 0.0000], [0.0000, 0.0000, 5.7194]], "species": ["Sc", "Sc", "N", "In", "La"], "frac_coords": [[0.0000, 0.0000, 0.5000], [0.5000, 0.0000, 0.0000], [0.0000, 0.5000, 0.0000], [0.0000, 0.0000, 0.0000], [0.5000, 0.5000, 0.5000]], "mass_density_g_cm3": 4.37, "m_tot_mub_per_cell": 2.20}

---

The structure with the least stability is *B*.

---

*A*
{"formula": "LaInSe2N", "functional": "PBE", "state": "relaxed", "lattice_angstrom": [[-4.5894, 2.1730, -3.2131], [1.0821, -4.0628, -4.2932], [-2.6641, -2.7589, 1.9394]], "species": ["N", "In", "Se", "Se", "La"], "frac_coords": [[0.0000, 0.0000, 0.5000], [0.5000, 0.5000, 0.5000], [0.0000, 0.5000, 0.0000], [0.5000, 0.0000, 0.0000], [0.0000, 0.0000, 0.0000]], "mass_density_g_cm3": 4.55, "m_tot_mub_per_cell": 2.10}

---

*B*
{"formula": "LaInSe2N", "functional": "PBE", "state": "relaxed", "lattice_angstrom": [[-2.8807, -4.5005, -0.3850], [2.0064, -1.6841, 4.6733], [-3.1481, 1.8425, 2.0156]], "species": ["N", "In", "Se", "Se", "La"], "frac_coords": [[0.0000, 0.0000, 0.5000], [0.0000, 0.0000, 0.0000], [0.0000, 0.5000, 0.0000], [0.5000, 0.0000, 0.0000], [0.5000, 0.5000, 0.5000]], "mass_density_g_cm3": 5.91, "m_tot_mub_per_cell": 1.03}

---

The structure with the least stability is *A*.

---

*A*
{"formula": "La2TiInN", "functional": "PBE", "state": "relaxed", "lattice_angstrom": [[-3.1644, 4.2546, 0.8233], [-2.5236, -0.9805, -4.6329], [-2.6868, -2.3790, 1.9670]], "species": ["N", "In", "Ti", "La", "La"], "frac_coords": [[0.0000, 0.0000, 0.0000], [0.5000, 0.5000, 0.5000], [0.0000, 0.0000, 0.5000], [0.0000, 0.5000, 0.0000], [0.5000, 0.0000, 0.0000]], "mass_density_g_cm3": 6.40, "m_tot_mub_per_cell": 1.84}

---

*B*
{"formula": "La2TiInN", "functional": "PBE", "state": "relaxed", "lattice_angstrom": [[-4.7523, -1.3408, -0.4085], [0.5149, -2.9886, 3.8192], [-1.3004, 3.6786, 3.0538]], "species": ["N", "In", "Ti", "La", "La"], "frac_coords": [[0.0000, 0.0000, 0.0000], [0.0000, 0.5000, 0.0000], [0.5000, 0.5000, 0.5000], [0.0000, 0.0000, 0.5000], [0.5000, 0.0000, 0.0000]], "mass_density_g_cm3": 6.30, "m_tot_mub_per_cell": 0.00}

---

The structure with the least stability is *B*.